# 1
A relaxed structure of MgFePt2. Source: the Alexandria database, functional PBE-GGA.

extended XYZ file:
```
4
Lattice="4.758 -1.615 -2.987 -1.320 4.848 2.987 -3.348 0.115 4.790" Properties=species:S:1:pos:R:3 pbc="T T T"
Pt -3.433 3.651 5.720
Pt -1.234 1.312 2.057
Fe -2.334 2.482 3.888
Mg 0.000 0.000 0.000
```

Computed properties:
calculated formation energy	2.23	kcal/mol of atoms
energy	-5.44	eV/atom
space-group type	No. 71



# 2
A relaxed structure of LaPm4Er10. Source: the Alexandria database, functional PBE-GGA.

extended XYZ file:
```
15
Lattice="9.766 0.000 4.410 4.883 6.945 2.205 2.025 0.000 8.534" Properties=species:S:1:pos:R:3 pbc="T T T"
Er 10.452 0.640 7.307
Er 9.534 6.305 9.338
Er 10.399 2.358 11.614
Er 6.223 6.305 7.842
Er 7.140 0.640 5.811
Er 3.944 2.358 8.699
Er 5.896 3.472 6.472
Er 10.779 3.472 8.677
Er 6.276 4.587 3.536
Er 12.730 4.587 6.450
Pm 12.748 5.312 10.826
Pm 3.927 1.633 4.323
Pm 7.580 2.324 9.252
Pm 9.094 4.621 5.898
La 0.000 0.000 0.000
```

Computed properties:
calculated formation energy	10.58	kcal/mol of atoms
energy	-4.18	eV/atom
space-group type	No. 87